--- P ---
Here is crystalline TlCdRe2 at its relaxed geometry from the Alexandria database. Energies are from PBE-GGA.

- V (Å³ per cell) = 70.7

The structure in CIF format:
```
data_TlCdRe2
_space_group_name_H-M_alt 'P 1'
_space_group_IT_number 1
_space_group_name_Hall 'P 1'
_cell_length_a 4.6419
_cell_length_b 4.6419
_cell_length_c 4.6419
_cell_angle_alpha 60.00
_cell_angle_beta 60.00
_cell_angle_gamma 60.00
loop_
_atom_site_label
_atom_site_type_symbol
_atom_site_fract_x
_atom_site_fract_y
_atom_site_fract_z
Tl1 Tl 0.0000 0.0000 0.0000
Cd1 Cd 0.5000 0.5000 0.5000
Re1 Re 0.2500 0.2500 0.2500
Re2 Re 0.7500 0.7500 0.7500
```



--- Q ---
Here is crystalline TlCdRe2 at its relaxed geometry from the Alexandria database. Energies are from PBE-GGA.

- V (Å³ per cell) = 72.4

The structure in CIF format:
```
data_TlCdRe2
_space_group_name_H-M_alt 'P 1'
_space_group_IT_number 1
_space_group_name_Hall 'P 1'
_cell_length_a 5.3692
_cell_length_b 5.3692
_cell_length_c 5.3692
_cell_angle_alpha 136.52
_cell_angle_beta 136.52
_cell_angle_gamma 63.18
loop_
_atom_site_label
_atom_site_type_symbol
_atom_site_fract_x
_atom_site_fract_y
_atom_site_fract_z
Tl1 Tl 0.0000 0.0000 0.0000
Cd1 Cd 0.5000 0.5000 0.0000
Re1 Re 0.2500 0.7500 0.5000
Re2 Re 0.7500 0.2500 0.5000
```



Q: Which of them is the least stable? A: P.



--- P ---
Here is crystalline TlCdRe2 at its relaxed geometry from the Alexandria database. Energies are from PBE-GGA.

- V (Å³ per cell) = 72.4

The structure in CIF format:
```
data_TlCdRe2
_space_group_name_H-M_alt 'P 1'
_space_group_IT_number 1
_space_group_name_Hall 'P 1'
_cell_length_a 5.7454
_cell_length_b 5.7454
_cell_length_c 2.9146
_cell_angle_alpha 104.16
_cell_angle_beta 104.16
_cell_angle_gamma 120.21
loop_
_atom_site_label
_atom_site_type_symbol
_atom_site_fract_x
_atom_site_fract_y
_atom_site_fract_z
Tl1 Tl 0.0000 0.0000 0.0000
Cd1 Cd 0.5000 0.5000 0.0000
Re1 Re 0.0000 0.5000 0.5000
Re2 Re 0.5000 0.0000 0.5000
```



--- Q ---
Here is crystalline TlCdRe2 at its relaxed geometry from the Alexandria database. Energies are from PBE-GGA.

- V (Å³ per cell) = 72.5

The structure in CIF format:
```
data_TlCdRe2
_space_group_name_H-M_alt 'P 1'
_space_group_IT_number 1
_space_group_name_Hall 'P 1'
_cell_length_a 5.1059
_cell_length_b 5.1059
_cell_length_c 5.1284
_cell_angle_alpha 100.33
_cell_angle_beta 100.33
_cell_angle_gamma 33.49
loop_
_atom_site_label
_atom_site_type_symbol
_atom_site_fract_x
_atom_site_fract_y
_atom_site_fract_z
Tl1 Tl 0.0000 0.0000 0.0000
Cd1 Cd 0.5000 0.5000 0.5000
Re1 Re 0.2508 0.2508 0.7221
Re2 Re 0.7492 0.7492 0.2779
```



--- R ---
Here is crystalline TlCdRe2 at its relaxed geometry from the Alexandria database. Energies are from PBE-GGA.

- V (Å³ per cell) = 70.8

The structure in CIF format:
```
data_TlCdRe2
_space_group_name_H-M_alt 'P 1'
_space_group_IT_number 1
_space_group_name_Hall 'P 1'
_cell_length_a 4.6445
_cell_length_b 4.6445
_cell_length_c 3.2830
_cell_angle_alpha 90.00
_cell_angle_beta 90.00
_cell_angle_gamma 90.00
loop_
_atom_site_label
_atom_site_type_symbol
_atom_site_fract_x
_atom_site_fract_y
_atom_site_fract_z
Tl1 Tl 0.0000 0.0000 0.0000
Cd1 Cd 0.5000 0.5000 0.0000
Re1 Re 0.0000 0.5000 0.5000
Re2 Re 0.5000 0.0000 0.5000
```



Q: Which of them is the least stable? A: R.



--- P ---
Here is crystalline TlCdRe2 at its relaxed geometry from the Alexandria database. Energies are from PBE-GGA.

- V (Å³ per cell) = 71.6

The structure in CIF format:
```
data_TlCdRe2
_space_group_name_H-M_alt 'P 1'
_space_group_IT_number 1
_space_group_name_Hall 'P 1'
_cell_length_a 9.7579
_cell_length_b 9.7579
_cell_length_c 9.7579
_cell_angle_alpha 17.29
_cell_angle_beta 17.29
_cell_angle_gamma 17.29
loop_
_atom_site_label
_atom_site_type_symbol
_atom_site_fract_x
_atom_site_fract_y
_atom_site_fract_z
Tl1 Tl 0.0000 0.0000 0.0000
Cd1 Cd 0.5000 0.5000 0.5000
Re1 Re 0.2496 0.2496 0.2496
Re2 Re 0.7504 0.7504 0.7504
```



--- Q ---
Here is crystalline TlCdRe2 at its relaxed geometry from the Alexandria database. Energies are from PBE-GGA.

- V (Å³ per cell) = 79.0

The structure in CIF format:
```
data_TlCdRe2
_space_group_name_H-M_alt 'P 1'
_space_group_IT_number 1
_space_group_name_Hall 'P 1'
_cell_length_a 2.8617
_cell_length_b 2.8617
_cell_length_c 10.8751
_cell_angle_alpha 90.00
_cell_angle_beta 90.00
_cell_angle_gamma 117.46
loop_
_atom_site_label
_atom_site_type_symbol
_atom_site_fract_x
_atom_site_fract_y
_atom_site_fract_z
Tl1 Tl 0.0000 0.0000 0.0000
Cd1 Cd 0.5000 0.5000 0.3103
Re1 Re 0.0000 0.0000 0.5506
Re2 Re 0.5000 0.5000 0.7430
```



Q: Which of them is the least stable? A: P.



--- P ---
Here is crystalline TlCd3Re at its relaxed geometry from the Alexandria database. Energies are from PBE-GGA.

- V (Å³ per cell) = 165.0

The structure in CIF format:
```
data_TlCd3Re
_space_group_name_H-M_alt 'P 1'
_space_group_IT_number 1
_space_group_name_Hall 'P 1'
_cell_length_a 5.4851
_cell_length_b 5.4851
_cell_length_c 5.4851
_cell_angle_alpha 90.00
_cell_angle_beta 90.00
_cell_angle_gamma 90.00
loop_
_atom_site_label
_atom_site_type_symbol
_atom_site_fract_x
_atom_site_fract_y
_atom_site_fract_z
Tl1 Tl 0.0000 0.0000 0.0000
Cd1 Cd 0.0000 0.0000 0.5000
Cd2 Cd 0.0000 0.5000 0.0000
Cd3 Cd 0.5000 0.0000 0.0000
Re1 Re 0.5000 0.5000 0.5000
```



--- Q ---
Here is crystalline TlCd3Re at its relaxed geometry from the Alexandria database. Energies are from PBE-GGA.

- V (Å³ per cell) = 148.1

The structure in CIF format:
```
data_TlCd3Re
_space_group_name_H-M_alt 'P 1'
_space_group_IT_number 1
_space_group_name_Hall 'P 1'
_cell_length_a 5.2904
_cell_length_b 5.2904
_cell_length_c 5.2904
_cell_angle_alpha 90.00
_cell_angle_beta 90.00
_cell_angle_gamma 90.00
loop_
_atom_site_label
_atom_site_type_symbol
_atom_site_fract_x
_atom_site_fract_y
_atom_site_fract_z
Tl1 Tl 0.0000 0.0000 0.0000
Cd1 Cd 0.0000 0.5000 0.5000
Cd2 Cd 0.5000 0.0000 0.5000
Cd3 Cd 0.5000 0.5000 0.0000
Re1 Re 0.5000 0.5000 0.5000
```



Q: Which of them is the least stable? A: P.